Crystalline Mg3TlGe at its relaxed geometry, computed with PBE.

The structure belongs to space group Pm-3m (No. 221); the cell edges are 5.284, 5.284 and 5.284 Å and the angles 90.00°, 90.00° and 90.00°. The asymmetric unit holds Mg at (0.000, 0.000, 0.500), Tl at (0.000, 0.000, 0.000) and Ge at (0.500, 0.500, 0.500).

The calculated density is 3.9 Mg/m³. Its formation energy is 0.60 eV/atom. The magnetic moment comes out at 0.0 μB per cell. The energy above the lowest structure with this stoichiometry comes out at 440 meV/atom. For the total energy, the calculation gives -1.758 eV per atom.


Crystalline KSr at its relaxed geometry, computed with PBE.

The structure belongs to space group Fddd (No. 70, origin choice 2); the cell edges are 7.156, 12.897 and 23.503 Å and the angles 90.00°, 90.00° and 90.00°. The asymmetric unit holds K at (0.125, 0.125, 0.041) and Sr at (0.125, 0.289, 0.625).

The calculated density is 1.6 Mg/m³. Its formation energy is 0.23 eV/atom. The magnetic moment comes out at 0.0 μB per cell. For the total energy, the calculation gives -1.163 eV per atom.


Crystalline Ti2SbW at its relaxed geometry, computed with PBE.

The structure belongs to space group I-42d (No. 122); the cell edges are 4.040, 4.040 and 18.954 Å and the angles 90.00°, 90.00° and 90.00°. The asymmetric unit holds Ti at (0.248, 0.250, 0.125), Sb at (0.000, 0.000, 0.500) and W at (0.000, 0.000, 0.000).

The calculated density is 8.6 Mg/m³. The uncorrected formation energy comes out at 209 kJ/mol of formula units. The magnetic moment comes out at 0.0 μB per cell. For the total energy, the calculation gives -7.675 eV per atom.


Crystalline RbNiW3 at its relaxed geometry, computed with PBE.

The structure belongs to space group Pm-3m (No. 221); the cell edges are 4.625, 4.625 and 4.625 Å and the angles 90.00°, 90.00° and 90.00°. The asymmetric unit holds Rb at (0.000, 0.000, 0.000), Ni at (0.500, 0.500, 0.500) and W at (0.000, 0.000, 0.500).

The calculated density is 11.7 Mg/m³. Its formation energy is 4.07 eV/atom. The magnetic moment comes out at 0.0 μB per cell. The energy above the lowest structure with this stoichiometry comes out at 1772 meV/atom. For the total energy, the calculation gives -5.056 eV per atom.


Crystalline La2Pa2Ni15 at its relaxed geometry, computed with PBE.

The structure belongs to space group R-3m (No. 166, hexagonal axes); the cell edges are 8.5635, 8.5635 and 12.9410 Å and the angles 90.00°, 90.00° and 120.00°. The asymmetric unit holds La at (0.0000, 0.0000, 0.1404), Pa at (0.0000, 0.0000, 0.3903), Ni at (0.0000, 0.3042, 0.5000), Ni at (0.0000, 0.5000, 0.0000) and Ni at (0.0002, 0.5001, 0.3426).

The calculated density is 9.8 Mg/m³. Its formation energy is -0.27 eV/atom. The magnetic moment comes out at 0.0 μB per cell. For the total energy, the calculation gives -6.357 eV per atom.


Crystalline Ag2HgCl at its relaxed geometry, computed with PBE.

The structure belongs to space group P4/mmm (No. 123); the cell edges are 3.240, 3.240 and 7.774 Å and the angles 90.00°, 90.00° and 90.00°. The asymmetric unit holds Ag at (0.000, 0.000, 0.243), Hg at (0.500, 0.500, 0.500) and Cl at (0.500, 0.500, 0.000).

The calculated density is 9.2 Mg/m³. The uncorrected formation energy comes out at -19 kJ/mol of formula units. The magnetic moment comes out at 0.0 μB per cell. The energy above the lowest structure with this stoichiometry comes out at 100 meV/atom. For the total energy, the calculation gives -2.012 eV per atom.


Crystalline Pm2ErBr at its relaxed geometry, computed with PBE.

The structure belongs to space group P4/mmm (No. 123); the cell edges are 3.569, 3.569 and 9.615 Å and the angles 90.00°, 90.00° and 90.00°. The asymmetric unit holds Pm at (0.000, 0.000, 0.236), Er at (0.500, 0.500, 0.500) and Br at (0.500, 0.500, 0.000).

The calculated density is 7.3 Mg/m³. The uncorrected formation energy comes out at -179 kJ/mol of formula units. The magnetic moment comes out at 0.0 μB per cell. The energy above the lowest structure with this stoichiometry comes out at 76 meV/atom. For the total energy, the calculation gives -4.398 eV per atom.


Crystalline ZrCu2P at its relaxed geometry, computed with PBE.

The structure belongs to space group P4mm (No. 99); the cell edges are 3.141, 3.141 and 6.052 Å and the angles 90.00°, 90.00° and 90.00°. The asymmetric unit holds Zr at (0.000, 0.000, 0.000), Cu at (0.000, 0.000, 0.514), Cu at (0.500, 0.500, 0.311) and P at (0.500, 0.500, 0.717).

The calculated density is 6.9 Mg/m³. Its formation energy is -0.18 eV/atom. The magnetic moment comes out at 0.0 μB per cell. For the total energy, the calculation gives -5.722 eV per atom.


Crystalline In3IrCl at its relaxed geometry, computed with PBE.

The structure belongs to space group C2/m (No. 12); the cell edges are 13.530, 4.006 and 8.911 Å and the angles 90.00°, 94.32° and 90.00°. The asymmetric unit holds In at (0.056, 0.000, 0.145), In at (0.072, 0.500, 0.631), In at (0.226, 0.000, 0.877), Ir at (0.094, 0.500, 0.932) and Cl at (0.161, 0.000, 0.401).

The calculated density is 7.9 Mg/m³. The uncorrected formation energy comes out at -132 kJ/mol of formula units. The magnetic moment comes out at 0.0 μB per cell. The energy above the lowest structure with this stoichiometry comes out at 164 meV/atom. For the total energy, the calculation gives -4.058 eV per atom.


Crystalline Ge5Pt2 at its relaxed geometry, computed with PBE.

The structure belongs to space group C2/c (No. 15); the cell edges are 13.579, 6.332 and 6.267 Å and the angles 90.00°, 108.13° and 90.00°. The asymmetric unit holds Ge at (0.000, 0.049, 0.250), Ge at (0.088, 0.379, 0.972), Ge at (0.198, 0.121, 0.274) and Pt at (0.118, 0.244, 0.609).

The calculated density is 9.8 Mg/m³. Its formation energy is -0.25 eV/atom. The magnetic moment comes out at 0.0 μB per cell. For the total energy, the calculation gives -5.273 eV per atom.


Crystalline YSc2Mn at its relaxed geometry, computed with PBE.

The structure belongs to space group C2/m (No. 12); the cell edges are 6.218, 10.662 and 3.214 Å and the angles 90.00°, 117.28° and 90.00°. The asymmetric unit holds Y at (0.000, 0.000, 0.000), Sc at (0.250, 0.250, 0.500) and Mn at (0.000, 0.500, 0.000).

The calculated density is 4.1 Mg/m³. Its formation energy is 0.30 eV/atom. The magnetic moment comes out at 5.5 μB per cell. The energy above the lowest structure with this stoichiometry comes out at 212 meV/atom. For the total energy, the calculation gives -6.775 eV per atom.


Q: Which of these has the highest magnetic moment?
A: YSc2Mn


Q: Number 2 is which compound?
A: KSr